{"formula": "CsBi2Ir", "functional": "PBE-GGA", "state": "relaxed", "magmom_total_mub_per_fu": 0.000, "delta_e_f_mev_per_atom": -78.7, "lattice": [[2.230, 1.287, 7.993], [-2.230, 1.287, 7.993], [0.000, -2.575, 7.993]], "species": ["Cs", "Bi", "Bi", "Ir"], "frac_coords": [[0.000, 0.000, 0.000], [0.213, 0.213, 0.213], [0.787, 0.787, 0.787], [0.500, 0.500, 0.500]]}

=====

{"formula": "CsBi2Ir", "functional": "PBE-GGA", "state": "relaxed", "magmom_total_mub_per_fu": 0.000, "delta_e_f_mev_per_atom": 645.5, "lattice": [[0.000, 3.803, 3.803], [3.803, 0.000, 3.803], [3.803, 3.803, 0.000]], "species": ["Cs", "Bi", "Bi", "Ir"], "frac_coords": [[0.000, 0.000, 0.000], [0.250, 0.250, 0.250], [0.750, 0.750, 0.750], [0.500, 0.500, 0.500]]}

=====

{"formula": "CsBi2Ir", "functional": "PBE-GGA", "state": "relaxed", "magmom_total_mub_per_fu": 0.000, "delta_e_f_mev_per_atom": 118.6, "lattice": [[3.524, 0.000, 0.000], [0.000, 3.524, 0.000], [0.000, 0.000, 9.557]], "species": ["Cs", "Bi", "Bi", "Ir"], "frac_coords": [[0.000, 0.000, 0.000], [0.500, 0.500, 0.331], [0.500, 0.500, 0.669], [0.000, 0.000, 0.500]]}

=====

{"formula": "CsBi2Ir", "functional": "PBE-GGA", "state": "relaxed", "magmom_total_mub_per_fu": 0.000, "delta_e_f_mev_per_atom": 154.9, "lattice": [[-4.273, 4.273, 4.275], [4.273, -4.273, 4.275], [4.273, 4.273, -4.275]], "species": ["Cs", "Cs", "Bi", "Bi", "Bi", "Bi", "Ir", "Ir"], "frac_coords": [[0.000, 0.000, 0.000], [0.750, 0.250, 0.500], [0.239, 0.625, 0.114], [0.375, 0.489, 0.614], [0.511, 0.125, 0.886], [0.875, 0.761, 0.386], [0.250, 0.750, 0.500], [0.500, 0.500, 0.000]]}

=====

Which formula does entry 1 have? CsBi2Ir